Entry 1:
Below is a relaxed Li2HgP crystal, with properties calculated at the GGA-PBE level.

Calculated values
Calculated formation energy (eV/atom): -0.3118
Space-group type: No. 38

a b c (Å): 4.369 2.960 10.438
angles (deg): 90.00 90.00 90.00
Element x y z (fractional)
Li 0.000 0.000 0.000
Li 0.000 0.500 0.500
Li 0.500 0.000 0.317
Li 0.500 0.500 0.817
Hg 0.000 0.000 0.739
Hg 0.000 0.500 0.239
P 0.500 0.000 0.567
P 0.500 0.500 0.067


Entry 2:
Below is a relaxed NaPa2Cl8 crystal, with properties calculated at the GGA-PBE level.

Calculated values
Relative energy among the computed polymorphs (kJ/mol of atoms): 5.0
Space-group type: No. 147
Formation energy without anion corrections (kJ/mol of formula units): -1780

a b c (Å): 8.959 8.959 5.517
angles (deg): 90.00 90.00 120.00
Element x y z (fractional)
Na 0.000 0.000 0.000
Pa 0.333 0.667 0.242
Pa 0.667 0.333 0.758
Cl 0.166 0.832 0.248
Cl 0.168 0.334 0.248
Cl 0.333 0.667 0.744
Cl 0.334 0.166 0.752
Cl 0.666 0.834 0.248
Cl 0.667 0.333 0.256
Cl 0.832 0.666 0.752
Cl 0.834 0.168 0.752


Entry 3:
Below is a relaxed Ba6GeP2Br3 crystal, with properties calculated at the GGA-PBE level.

Calculated values
Space-group type: No. 12
Formation energy without anion corrections (kJ/mol of formula units): -1600

a b c (Å): 8.223 8.223 8.507
angles (deg): 99.28 99.28 120.07
Element x y z (fractional)
Ba 0.085 0.428 0.784
Ba 0.229 0.229 0.217
Ba 0.428 0.085 0.784
Ba 0.572 0.915 0.216
Ba 0.771 0.771 0.783
Ba 0.915 0.572 0.216
Ge 0.500 0.500 0.000
P 0.166 0.834 0.000
P 0.834 0.166 0.000
Br 0.000 0.000 0.500
Br 0.332 0.668 0.500
Br 0.668 0.332 0.500